First-principles (GGA-PBE) data for an optimized crystal structure of Cs2SrRuF6, as listed in Alexandria via LeMat-Bulk.

Raw formation energy   -2.5789 eV/atom
M_tot   0.00 μB/f.u.

abc: 9.108 9.108 9.108
angles: 90.00 90.00 90.00
Space group Fm-3m (No. 225)
Symmetry-distinct sites (fractional):
Cs 0.250 0.250 0.250 x8
Sr 0.000 0.000 0.000 x4
Ru 0.000 0.000 0.500 x4
F 0.000 0.000 0.265 x24